1.
This record from Alexandria describes a geometry-optimized Ho4InRh structure. The functional is GGA-PBE.

Output
Size of the total moment ... 0.00 Bohr magnetons per cell
ΔE_f ... -55 kJ per mole of atoms

Lattice parameters (Å, degrees): 9.6085 9.6085 9.6085 60.00 60.00 60.00
Fractional coordinates of all 24 atoms:
Ho  0.8121  0.1879  0.8121
Ho  0.5997  0.5997  0.2009
Ho  0.4405  0.0595  0.4405
Ho  0.0595  0.0595  0.4405
Rh  0.3921  0.3921  0.3921
Ho  0.1879  0.8121  0.1879
Ho  0.1879  0.8121  0.8121
In  0.8331  0.5006  0.8331
Ho  0.5997  0.2009  0.5997
Rh  0.3921  0.3921  0.8238
Ho  0.0595  0.4405  0.0595
Rh  0.3921  0.8238  0.3921
In  0.5006  0.8331  0.8331
Ho  0.5997  0.5997  0.5997
Ho  0.8121  0.8121  0.1879
In  0.8331  0.8331  0.8331
In  0.8331  0.8331  0.5006
Ho  0.4405  0.0595  0.0595
Ho  0.4405  0.4405  0.0595
Ho  0.2009  0.5997  0.5997
Ho  0.1879  0.1879  0.8121
Ho  0.0595  0.4405  0.4405
Rh  0.8238  0.3921  0.3921
Ho  0.8121  0.1879  0.1879



2.
This record from Alexandria describes a geometry-optimized Ho3InRh8 structure. The functional is GGA-PBE.

Output
Size of the total moment ... 0.00 Bohr magnetons per cell
ΔE_f ... -60 kJ per mole of atoms

Lattice parameters (Å, degrees): 5.2927 5.2927 9.2203 73.32 73.32 60.00
Fractional coordinates of all 12 atoms:
Ho  0.5035  0.5035  0.4896
Rh  0.9380  0.4372  0.1875
Rh  0.1879  0.1879  0.4364
Rh  0.9374  0.9374  0.6870
Rh  0.6877  0.6877  0.9368
Rh  0.4372  0.4372  0.1875
Rh  0.4383  0.9374  0.6870
Ho  0.3756  0.3756  0.8733
Ho  0.9961  0.9961  0.0117
Rh  0.9374  0.4383  0.6870
In  0.8738  0.8738  0.3786
Rh  0.4372  0.9380  0.1875



3.
This record from Alexandria describes a geometry-optimized HoIn2Rh structure. The functional is GGA-PBE.

Output
Size of the total moment ... 0.00 Bohr magnetons per cell
ΔE_f ... -40 kJ per mole of atoms

Lattice parameters (Å, degrees): 4.7773 4.2301 4.2301 90.00 90.00 90.00
Fractional coordinates of all 4 atoms:
Rh  0.5000  0.0000  0.0000
Ho  0.5000  0.5000  0.5000
In  0.0000  0.0000  0.5000
In  0.0000  0.5000  0.0000



Total energy: -127.2; -82.8; -19.1 (eV per cell)
Fermi-level density of states: 14.6; 10.9; 1.9 (states/eV/cell)